This record from Alexandria via LeMat-Bulk describes a relaxed structure of Ho2TmTl2. The functional is PBE-GGA.

a = 3.7362 Å, b = 5.3424 Å, c = 14.0364 Å
α = 90.00°, β = 97.68°, γ = 90.00°
Closest atoms and distances in Å follow each position.
Fractional positions:
Ho (0.0487, 0.2500, 0.0976)  8 Tl 3.25-3.33
Ho (0.2384, 0.2500, 0.4761)  2 Tl 3.20, 4 Ho 3.33
Ho (0.7616, 0.7500, 0.5239)  2 Tl 3.20, 4 Ho 3.33
Ho (0.9513, 0.7500, 0.9024)  8 Tl 3.25-3.33
Tm (0.1501, 0.7500, 0.3015)  6 Tl 3.26-3.37, 4 Ho 3.61
Tm (0.8499, 0.2500, 0.6985)  6 Tl 3.26-3.37, 4 Ho 3.61
Tl (0.3563, 0.7500, 0.7108)  4 Ho 3.20-3.26, 4 Tm 3.26
Tl (0.4494, 0.2500, 0.8996)  6 Ho 3.26-3.33, 2 Tm 3.36-3.37
Tl (0.5506, 0.7500, 0.1004)  6 Ho 3.26-3.33, 2 Tm 3.36-3.37
Tl (0.6437, 0.2500, 0.2892)  4 Ho 3.20-3.26, 4 Tm 3.26

Properties
The energy relative to the lowest polymorph listed for this composition is 0.036 eV/f.u. As for the space-group type: P2_1/m.

=====

This record from Alexandria via LeMat-Bulk describes a relaxed structure of SnGeS. The functional is PBE-GGA.

a = 4.1870 Å, b = 3.8784 Å, c = 8.7614 Å
α = 90.00°, β = 94.31°, γ = 90.00°
Closest atoms and distances in Å follow each position.
Fractional positions:
Sn (0.0000, 0.0000, 0.0000)  5 Ge 2.84-2.91, 1 Sn 3.05
Sn (0.0327, 0.0000, 0.6538)  2 S 2.63, 1 Ge 2.89
Ge (0.4970, 0.5000, 0.9992)  2 S 2.66-2.68, 4 Sn 2.84-2.86
Ge (0.9021, 0.0000, 0.3248)  2 S 2.45
S (0.4564, 0.5000, 0.6929)  2 Sn 2.63, 1 Ge 2.68
S (0.5442, 0.5000, 0.3031)  3 Ge 2.45-2.66

Properties
The value obtained for the formation energy (no corrections) is -0.111 eV/atom. The energy relative to the lowest polymorph listed for this composition is 0.059 eV/f.u. As for the space-group type: Pm.

=====

This record from Alexandria via LeMat-Bulk describes a relaxed structure of Tb3SmAu3. The functional is PBE-GGA.

a = 7.2721 Å, b = 7.2721 Å, c = 7.1447 Å
α = 96.84°, β = 96.84°, γ = 88.14°
Closest atoms and distances in Å follow each position.
Fractional positions:
Tb (0.1915, 0.8085, 0.0000)  4 Au 2.92-2.98
Tb (0.2712, 0.7288, 0.5000)  4 Au 2.94-3.13
Tb (0.3146, 0.3146, 0.0167)  5 Au 3.04-3.27
Tb (0.6854, 0.6854, 0.9833)  5 Au 3.04-3.27
Tb (0.7288, 0.2712, 0.5000)  4 Au 2.94-3.13
Tb (0.8085, 0.1915, 0.0000)  4 Au 2.92-2.98
Sm (0.2446, 0.2446, 0.4835)  6 Au 2.87-3.21
Sm (0.7554, 0.7554, 0.5165)  6 Au 2.87-3.21
Au (0.9998, 0.4853, 0.7716)  5 Tb 2.94-3.28, 2 Sm 3.19-3.21, 2 Au 3.20-3.25
Au (0.0002, 0.5147, 0.2284)  5 Tb 2.94-3.28, 2 Sm 3.19-3.21, 2 Au 3.20-3.25
Au (0.0436, 0.0436, 0.7121)  2 Sm 2.87-3.10, 4 Tb 2.92-3.13, 3 Au 3.02-3.20
Au (0.4853, 0.9998, 0.7716)  5 Tb 2.94-3.28, 2 Sm 3.19-3.21, 2 Au 3.20-3.25
Au (0.5147, 0.0002, 0.2284)  5 Tb 2.94-3.28, 2 Sm 3.19-3.21, 2 Au 3.20-3.25
Au (0.9564, 0.9564, 0.2879)  2 Sm 2.87-3.10, 4 Tb 2.92-3.13, 3 Au 3.02-3.20

Properties
As for the space-group type: C2/m. For the final energy, the calculation gives -4.700 eV/atom.

=====

This record from Alexandria via LeMat-Bulk describes a relaxed structure of K2NaAu2. The functional is PBE-GGA.

a = 8.1198 Å, b = 8.1198 Å, c = 4.9404 Å
α = 90.00°, β = 90.00°, γ = 90.00°
Closest atoms and distances in Å follow each position.
Fractional positions:
K (0.1672, 0.3328, 0.0000)  6 Au 3.43-3.44, 1 K 3.84
K (0.3328, 0.8328, 0.0000)  6 Au 3.43-3.44, 1 K 3.84
K (0.6672, 0.1672, 0.0000)  6 Au 3.43-3.44, 1 K 3.84
K (0.8328, 0.6672, 0.0000)  6 Au 3.43-3.44, 1 K 3.84
Na (0.0000, 0.0000, 0.5000)  4 Au 3.21
Na (0.5000, 0.5000, 0.5000)  4 Au 3.21
Au (0.1256, 0.6256, 0.5000)  1 Au 2.88, 2 Na 3.21
Au (0.3744, 0.1256, 0.5000)  1 Au 2.88, 2 Na 3.21
Au (0.6256, 0.8744, 0.5000)  1 Au 2.88, 2 Na 3.21
Au (0.8744, 0.3744, 0.5000)  1 Au 2.88, 2 Na 3.21

Properties
The energy relative to the lowest polymorph listed for this composition is 0.147 eV/f.u. As for the space-group type: P4/mbm.

=====

This record from Alexandria via LeMat-Bulk describes a relaxed structure of Rb2Cd6As3. The functional is PBE-GGA.

a = 8.6711 Å, b = 8.6711 Å, c = 4.6231 Å
α = 90.00°, β = 90.00°, γ = 120.00°
Closest atoms and distances in Å follow each position.
Fractional positions:
Rb (0.3333, 0.6667, 0.0000)  6 As 3.60, 9 Cd 3.65-3.82
Rb (0.6667, 0.3333, 0.0000)  6 As 3.60, 9 Cd 3.65-3.82
Cd (0.0000, 0.1931, 0.0000)  2 As 2.76, 2 Cd 2.90
Cd (0.0000, 0.6997, 0.5000)  3 As 2.88-2.94
Cd (0.1931, 0.0000, 0.0000)  2 As 2.76, 2 Cd 2.90
Cd (0.3003, 0.3003, 0.5000)  3 As 2.88-2.94
Cd (0.6997, 0.0000, 0.5000)  3 As 2.88-2.94
Cd (0.8069, 0.8069, 0.0000)  2 As 2.76, 2 Cd 2.90
As (0.0000, 0.3673, 0.5000)  5 Cd 2.76-2.94
As (0.3673, 0.0000, 0.5000)  5 Cd 2.76-2.94
As (0.6327, 0.6327, 0.5000)  5 Cd 2.76-2.94

Properties
As for the space-group type: P-62m. For the final energy, the calculation gives -2.127 eV/atom.

=====

This record from Alexandria via LeMat-Bulk describes a relaxed structure of MnCoH2. The functional is PBE-GGA.

a = 2.5721 Å, b = 2.5721 Å, c = 13.7843 Å
α = 90.00°, β = 90.00°, γ = 120.00°
Closest atoms and distances in Å follow each position.
Fractional positions:
Mn (0.0000, 0.0000, 0.0000)  6 H 1.83-1.87
Mn (0.3333, 0.6667, 0.6667)  6 H 1.83-1.87
Mn (0.6667, 0.3333, 0.3333)  6 H 1.83-1.87
Co (0.0000, 0.0000, 0.8226)  6 H 1.84-1.98
Co (0.3333, 0.6667, 0.4893)  6 H 1.84-1.98
Co (0.6667, 0.3333, 0.1559)  6 H 1.84-1.98
H (0.0000, 0.0000, 0.4105)  3 Mn 1.83, 3 Co 1.84
H (0.0000, 0.0000, 0.5843)  3 Mn 1.87, 3 Co 1.98
H (0.3333, 0.6667, 0.0772)  3 Mn 1.83, 3 Co 1.84
H (0.3333, 0.6667, 0.2510)  3 Mn 1.87, 3 Co 1.98
H (0.6667, 0.3333, 0.7438)  3 Mn 1.83, 3 Co 1.84
H (0.6667, 0.3333, 0.9177)  3 Mn 1.87, 3 Co 1.98

Properties
The energy relative to the lowest polymorph listed for this composition is 0.473 eV/f.u. As for the space-group type: R3m.

=====

This record from Alexandria via LeMat-Bulk describes a relaxed structure of TlAgMo2. The functional is PBE-GGA.

a = 2.9170 Å, b = 4.1975 Å, c = 6.0584 Å
α = 90.00°, β = 94.66°, γ = 90.00°
Closest atoms and distances in Å follow each position.
Fractional positions:
Tl (0.0000, 0.0000, 0.0000)  2 Tl 2.92, 6 Mo 2.95-3.16, 4 Ag 2.97-2.99
Ag (0.5367, 0.5000, 0.2549)  5 Mo 2.81-3.02, 2 Ag 2.92, 4 Tl 2.97-2.99
Mo (0.0755, 0.0000, 0.5178)  2 Mo 2.55
Mo (0.4083, 0.5000, 0.7103)  2 Mo 2.55, 1 Ag 2.81

Properties
The energy relative to the lowest polymorph listed for this composition is 0.401 eV/f.u. As for the space-group type: Pm.

=====

This record from Alexandria via LeMat-Bulk describes a relaxed structure of MgTi2Pt9. The functional is PBE-GGA.

a = 3.9502 Å, b = 3.9502 Å, c = 11.8460 Å
α = 90.00°, β = 90.00°, γ = 90.00°
Closest atoms and distances in Å follow each position.
Fractional positions:
Mg (0.0000, 0.0000, 0.0000)  12 Pt 2.79-2.83
Ti (0.0000, 0.0000, 0.3285)  12 Pt 2.71-2.83
Ti (0.0000, 0.0000, 0.6715)  12 Pt 2.71-2.83
Pt (0.0000, 0.5000, 0.1714)  2 Ti 2.71, 8 Pt 2.77-2.83, 2 Mg 2.83
Pt (0.0000, 0.5000, 0.5000)  8 Pt 2.78-2.79, 4 Ti 2.83
Pt (0.0000, 0.5000, 0.8286)  2 Ti 2.71, 8 Pt 2.77-2.83, 2 Mg 2.83
Pt (0.5000, 0.0000, 0.1714)  2 Ti 2.71, 8 Pt 2.77-2.83, 2 Mg 2.83
Pt (0.5000, 0.0000, 0.5000)  8 Pt 2.78-2.79, 4 Ti 2.83
Pt (0.5000, 0.0000, 0.8286)  2 Ti 2.71, 8 Pt 2.77-2.83, 2 Mg 2.83
Pt (0.5000, 0.5000, 0.0000)  4 Mg 2.79, 8 Pt 2.83
Pt (0.5000, 0.5000, 0.3353)  8 Pt 2.77-2.78, 4 Ti 2.79
Pt (0.5000, 0.5000, 0.6647)  8 Pt 2.77-2.78, 4 Ti 2.79

Properties
As for the space-group type: P4/mmm. For the final energy, the calculation gives -6.803 eV/atom.